[1]
A relaxed structure of ZnGa2Sb, computed with PBE.

Lattice parameters (Å, degrees): 4.9275 4.9275 4.9275 60.00 60.00 60.00
Closest atoms and distances in Å follow each position.
Fractional positions:
1 Zn 0.0000 0.0000 0.0000  4 Sb 3.02, 4 Ga 3.02
2 Ga 0.2500 0.2500 0.2500  4 Zn 3.02, 4 Ga 3.02
3 Ga 0.5000 0.5000 0.5000  4 Sb 3.02, 4 Ga 3.02
4 Sb 0.7500 0.7500 0.7500  4 Zn 3.02, 4 Ga 3.02

Computed properties:
The total energy comes out at -2.74 eV per atom. The symmetry is F-43m (216).

[2]
A relaxed structure of DyEr3Pd4, computed with PBE.

Lattice parameters (Å, degrees): 5.5480 4.5504 6.8772 90.00 90.23 90.00
Closest atoms and distances in Å follow each position.
Fractional positions:
1 Dy 0.0000 0.0000 0.0000  7 Pd 2.88-3.01
2 Er 0.2114 0.0000 0.4995  7 Pd 2.87-3.00
3 Er 0.4993 0.5000 0.1351  7 Pd 2.88-3.01
4 Er 0.7105 0.5000 0.6346  7 Pd 2.87-2.99
5 Pd 0.0118 0.5000 0.2793  5 Er 2.88-3.01, 2 Pd 2.92, 2 Dy 2.98
6 Pd 0.2002 0.5000 0.7721  5 Er 2.87-2.99, 2 Pd 2.92, 2 Dy 2.98
7 Pd 0.5117 0.0000 0.8582  2 Dy 2.88-3.01, 2 Pd 2.92, 5 Er 2.96-2.97
8 Pd 0.6976 0.0000 0.3603  6 Er 2.87-3.00, 2 Pd 2.92, 1 Dy 3.00

Computed properties:
The calculated formation energy is -0.950 eV/atom. The symmetry is Pm (6).

[3]
A relaxed structure of Y2Er2CI2Br3, computed with PBE.

Lattice parameters (Å, degrees): 9.4256 9.4256 8.1612 101.85 101.85 23.52
Closest atoms and distances in Å follow each position.
Fractional positions:
1 Y 0.1336 0.1336 0.0700  1 C 2.41
2 Y 0.8664 0.8664 0.9300  1 C 2.41
3 Er 0.4993 0.4993 0.1973  2 C 2.51
4 Er 0.5007 0.5007 0.8027  2 C 2.51
5 C 0.0000 0.0000 0.0000  2 Y 2.41, 4 Er 2.51
6 I 0.3295 0.3295 0.1937  2 Y 3.07, 1 Er 3.13
7 I 0.6705 0.6705 0.8063  2 Y 3.07, 1 Er 3.13
8 Br 0.0000 0.0000 0.5000  4 Er 3.13
9 Br 0.3446 0.3446 0.6640  2 Y 2.86, 1 Er 2.87
10 Br 0.6554 0.6554 0.3360  2 Y 2.86, 1 Er 2.87

Computed properties:
The total energy comes out at -5.23 eV per atom. The symmetry is C2/m (12).

[4]
A relaxed structure of KLuFeTe3, computed with PBE.

Lattice parameters (Å, degrees): 11.3309 4.3207 15.6848 90.00 90.00 90.00
Closest atoms and distances in Å follow each position.
Fractional positions:
1 K 0.2343 0.2500 0.0003  7 Te 3.59-3.76
2 K 0.2657 0.7500 0.5003  7 Te 3.59-3.76
3 K 0.7343 0.2500 0.4997  7 Te 3.59-3.76
4 K 0.7657 0.7500 0.9997  7 Te 3.59-3.76
5 Lu 0.0111 0.7500 0.2535  6 Te 3.03
6 Lu 0.4889 0.2500 0.7535  6 Te 3.03
7 Lu 0.5111 0.7500 0.2465  6 Te 3.03
8 Lu 0.9889 0.2500 0.7465  6 Te 3.03
9 Fe 0.2424 0.7500 0.7836  4 Te 2.62-2.68
10 Fe 0.2576 0.2500 0.2836  4 Te 2.62-2.68
11 Fe 0.7424 0.7500 0.7164  4 Te 2.62-2.68
12 Fe 0.7576 0.2500 0.2164  4 Te 2.62-2.68
13 Te 0.0491 0.7500 0.8750  1 Fe 2.62
14 Te 0.0704 0.2500 0.3816  1 Fe 2.62
15 Te 0.2408 0.2500 0.6822  2 Fe 2.68
16 Te 0.2592 0.7500 0.1822  2 Fe 2.68
17 Te 0.4296 0.7500 0.8816  1 Fe 2.62
18 Te 0.4509 0.2500 0.3750  1 Fe 2.62
19 Te 0.5491 0.7500 0.6250  1 Fe 2.62
20 Te 0.5704 0.2500 0.1184  1 Fe 2.62
21 Te 0.7408 0.2500 0.8178  2 Fe 2.68
22 Te 0.7592 0.7500 0.3178  2 Fe 2.68
23 Te 0.9296 0.7500 0.6184  1 Fe 2.62
24 Te 0.9509 0.2500 0.1250  1 Fe 2.62

Computed properties:
The symmetry is Pnma (62). The value obtained for the energy relative to the lowest polymorph listed for this composition is 0.032 eV/atom.

[5]
A relaxed structure of PaNbGa, computed with PBE.

Lattice parameters (Å, degrees): 4.6051 4.6051 4.6051 60.00 60.00 60.00
Closest atoms and distances in Å follow each position.
Fractional positions:
1 Pa 0.0000 0.0000 0.0000  4 Ga 2.82
2 Nb 0.5000 0.5000 0.5000  4 Ga 2.82
3 Ga 0.7500 0.7500 0.7500  4 Nb 2.82, 4 Pa 2.82

Computed properties:
The symmetry is F-43m (216). The value obtained for the energy relative to the lowest polymorph listed for this composition is 0.000 eV/atom.

[6]
A relaxed structure of PmScOs, computed with PBE.

Lattice parameters (Å, degrees): 4.6018 4.6018 4.6018 60.00 60.00 60.00
Closest atoms and distances in Å follow each position.
Fractional positions:
1 Pm 0.0000 0.0000 0.0000  4 Sc 2.82
2 Sc 0.7500 0.7500 0.7500  4 Os 2.82, 4 Pm 2.82
3 Os 0.5000 0.5000 0.5000  4 Sc 2.82

Computed properties:
The calculated formation energy is 0.517 eV/atom. The symmetry is F-43m (216).

[7]
A relaxed structure of ErTm3Sn2N2, computed with PBE.

Lattice parameters (Å, degrees): 3.4763 3.4763 15.1391 90.00 90.00 120.00
Closest atoms and distances in Å follow each position.
Fractional positions:
1 Er 0.0000 0.0000 0.0000  3 N 2.40
2 Tm 0.0000 0.0000 0.6703  3 N 2.38
3 Tm 0.6667 0.3333 0.1707  3 N 2.38
4 Tm 0.6667 0.3333 0.5004  3 N 2.38
5 Sn 0.0000 0.0000 0.3357  6 Tm 3.20, 6 Sn 3.48
6 Sn 0.6667 0.3333 0.8348  3 Tm 3.20, 3 Er 3.21, 6 Sn 3.48
7 N 0.3333 0.6667 0.0867  3 Tm 2.38, 3 Er 2.40
8 N 0.3333 0.6667 0.5854  6 Tm 2.38

Computed properties:
The total energy comes out at -6.53 eV per atom. The symmetry is P3m1 (156).

[8]
A relaxed structure of KNbCl6, computed with PBE.

Lattice parameters (Å, degrees): 6.2949 6.2949 12.0615 90.00 90.00 90.00
Closest atoms and distances in Å follow each position.
Fractional positions:
1 K 0.0000 0.0000 0.0000  4 Cl 3.08
2 K 0.0000 0.0000 0.5000  4 Cl 3.08
3 Nb 0.5000 0.5000 0.2500  6 Cl 2.37-2.39
4 Nb 0.5000 0.5000 0.7500  6 Cl 2.37-2.39
5 Cl 0.2317 0.2317 0.2500  1 Nb 2.39
6 Cl 0.2317 0.7683 0.7500  1 Nb 2.39
7 Cl 0.3090 0.3159 0.6105  1 Nb 2.37
8 Cl 0.3090 0.6841 0.1105  1 Nb 2.37
9 Cl 0.3159 0.3090 0.8895  1 Nb 2.37
10 Cl 0.3159 0.6910 0.3895  1 Nb 2.37
11 Cl 0.6841 0.3090 0.3895  1 Nb 2.37
12 Cl 0.6841 0.6910 0.8895  1 Nb 2.37
13 Cl 0.6910 0.3159 0.1105  1 Nb 2.37
14 Cl 0.6910 0.6841 0.6105  1 Nb 2.37
15 Cl 0.7683 0.2317 0.7500  1 Nb 2.39
16 Cl 0.7683 0.7683 0.2500  1 Nb 2.39

Computed properties:
The total energy comes out at -4.20 eV per atom. The symmetry is P-4c2 (116).